Here is an optimized crystal structure of V2CoF from Alexandria via LeMat-Bulk. Energies are from GGA+U.

Properties
- crystal system = cubic
- energy (eV/atom) = -4.8425
- magnetic moment (μB/atom) = 1.38
- theoretical density (kg/m3) = 5224

Cell and atoms, written as CIF:
```
data_V2CoF
_chemical_formula_sum 'V8 Co4 F4'
_cell_length_a 6.115
_cell_length_b 6.115
_cell_length_c 6.115
_cell_angle_alpha 90.00
_cell_angle_beta 90.00
_cell_angle_gamma 90.00
_space_group_name_H-M_alt 'F m -3 m'
_space_group_IT_number 225
_space_group_name_Hall '-F 4 2 3'
loop_
_atom_site_label
_atom_site_type_symbol
_atom_site_fract_x
_atom_site_fract_y
_atom_site_fract_z
V1 V 0.250 0.250 0.250
Co1 Co 0.000 0.000 0.000
F1 F 0.000 0.000 0.500
```

Here is an optimized crystal structure of VCoF from Alexandria via LeMat-Bulk. Energies are from GGA+U.

Properties
- crystal system = orthorhombic
- energy (eV/atom) = -5.0189
- magnetic moment (μB/atom) = 0.77
- theoretical density (kg/m3) = 4824

Cell and atoms, written as CIF:
```
data_VCoF
_chemical_formula_sum 'V4 Co4 F4'
_cell_length_a 12.863
_cell_length_b 2.775
_cell_length_c 4.971
_cell_angle_alpha 90.00
_cell_angle_beta 90.00
_cell_angle_gamma 90.00
_space_group_name_H-M_alt 'A m m 2'
_space_group_IT_number 38
loop_
_space_group_symop_operation_xyz
'x,y,z'
'-x,-y,z'
'-x,y,z'
'x,-y,z'
'x,y+1/2,z+1/2'
'-x,-y+1/2,z+1/2'
'-x,y+1/2,z+1/2'
'x,-y+1/2,z+1/2'
loop_
_atom_site_label
_atom_site_type_symbol
_atom_site_fract_x
_atom_site_fract_y
_atom_site_fract_z
V1 V 0.000 0.000 0.000
V2 V 0.500 0.000 0.128
Co1 Co 0.351 0.000 0.799
F1 F 0.103 0.000 0.333
```

Here is an optimized crystal structure of VCo3F from Alexandria via LeMat-Bulk. Energies are from GGA+U.

Properties
- crystal system = cubic
- energy (eV/atom) = -3.4342
- magnetic moment (μB/atom) = 0.50
- theoretical density (kg/m3) = 4578

Cell and atoms, written as CIF:
```
data_VCo3F
_chemical_formula_sum 'V1 Co3 F1'
_cell_length_a 4.473
_cell_length_b 4.473
_cell_length_c 4.473
_cell_angle_alpha 90.00
_cell_angle_beta 90.00
_cell_angle_gamma 90.00
_space_group_name_H-M_alt 'P m -3 m'
_space_group_IT_number 221
_space_group_name_Hall '-P 4 2 3'
loop_
_atom_site_label
_atom_site_type_symbol
_atom_site_fract_x
_atom_site_fract_y
_atom_site_fract_z
V1 V 0.000 0.000 0.000
Co1 Co 0.000 0.000 0.500
F1 F 0.500 0.500 0.500
```

Here is an optimized crystal structure of VCoF2 from Alexandria via LeMat-Bulk. Energies are from GGA+U.

Properties
- energy relative to the lowest polymorph listed for this composition (meV per atom) = 0
- crystal system = trigonal
- energy (eV/atom) = -5.3215
- magnetic moment (μB/atom) = 1.26
- theoretical density (kg/m3) = 3670

Cell and atoms, written as CIF:
```
data_VCoF2
_chemical_formula_sum 'V3 Co3 F6'
_cell_length_a 3.1342
_cell_length_b 3.1342
_cell_length_c 23.5929
_cell_angle_alpha 90.00
_cell_angle_beta 90.00
_cell_angle_gamma 120.00
_space_group_name_H-M_alt 'R -3 m'
_space_group_IT_number 166
_space_group_name_Hall '-R 3 2"'
loop_
_atom_site_label
_atom_site_type_symbol
_atom_site_fract_x
_atom_site_fract_y
_atom_site_fract_z
V1 V 0.0000 0.0000 0.0000
Co1 Co 0.0000 0.0000 0.5000
F1 F 0.0000 0.0000 0.3783
```

Please write out number 1 again, unchanged.
Here is an optimized crystal structure of V2CoF from Alexandria via LeMat-Bulk. Energies are from GGA+U.

Properties
- crystal system = cubic
- energy (eV/atom) = -4.8425
- magnetic moment (μB/atom) = 1.38
- theoretical density (kg/m3) = 5224

Cell and atoms, written as CIF:
```
data_V2CoF
_chemical_formula_sum 'V8 Co4 F4'
_cell_length_a 6.115
_cell_length_b 6.115
_cell_length_c 6.115
_cell_angle_alpha 90.00
_cell_angle_beta 90.00
_cell_angle_gamma 90.00
_space_group_name_H-M_alt 'F m -3 m'
_space_group_IT_number 225
_space_group_name_Hall '-F 4 2 3'
loop_
_atom_site_label
_atom_site_type_symbol
_atom_site_fract_x
_atom_site_fract_y
_atom_site_fract_z
V1 V 0.250 0.250 0.250
Co1 Co 0.000 0.000 0.000
F1 F 0.000 0.000 0.500
```

- What is the theoretical density in the second record?
  4824 kg/m3